Record 1
This record from Alexandria describes a relaxed Pm2CoAu crystal. The functional is PBE-GGA.

Summary:
Electronic total energy (eV/cell): -21.40

Cell: 3.5310 3.5310 7.3461 Å, 90.00 90.00 90.00°
Element x y z (fractional)
1 Pm 0.0000 0.0000 0.2313
2 Pm 0.0000 0.0000 0.7687
3 Co 0.5000 0.5000 0.0000
4 Au 0.5000 0.5000 0.5000

Record 2
This record from Alexandria describes a relaxed Pm4CoAu crystal. The functional is PBE-GGA.

Summary:
Electronic total energy (eV/cell): -62.17

Cell: 8.1860 8.1860 6.2228 Å, 105.36 105.36 115.06°
Element x y z (fractional)
1 Pm 0.0631 0.6960 0.9107
2 Pm 0.2121 0.3392 0.6870
3 Pm 0.3040 0.9369 0.5893
4 Pm 0.3392 0.2121 0.1870
5 Pm 0.6608 0.7879 0.8130
6 Pm 0.6960 0.0631 0.4107
7 Pm 0.7879 0.6608 0.3130
8 Pm 0.9369 0.3040 0.0893
9 Co 0.0045 0.9955 0.7500
10 Co 0.9955 0.0045 0.2500
11 Au 0.3736 0.6264 0.2500
12 Au 0.6264 0.3736 0.7500

Record 3
This record from Alexandria describes a relaxed Pm12CoAu6 crystal. The functional is PBE-GGA.

Summary:
Electronic total energy (eV/cell): -91.52

Cell: 8.4793 8.4793 8.4793 Å, 98.19 98.19 98.19°
Element x y z (fractional)
1 Pm 0.0258 0.9388 0.6867
2 Pm 0.0612 0.3133 0.9742
3 Pm 0.1850 0.5770 0.4263
4 Pm 0.3133 0.9742 0.0612
5 Pm 0.4230 0.5737 0.8150
6 Pm 0.4263 0.1850 0.5770
7 Pm 0.5737 0.8150 0.4230
8 Pm 0.5770 0.4263 0.1850
9 Pm 0.6867 0.0258 0.9388
10 Pm 0.8150 0.4230 0.5737
11 Pm 0.9388 0.6867 0.0258
12 Pm 0.9742 0.0612 0.3133
13 Co 0.0000 0.0000 0.0000
14 Au 0.1298 0.3068 0.6316
15 Au 0.3068 0.6316 0.1298
16 Au 0.3684 0.8702 0.6932
17 Au 0.6316 0.1298 0.3068
18 Au 0.6932 0.3684 0.8702
19 Au 0.8702 0.6932 0.3684

Record 4
This record from Alexandria describes a relaxed Pm3CoAu crystal. The functional is PBE-GGA.

Summary:
Electronic total energy (eV/cell): -52.95

Cell: 8.3978 3.8807 8.5047 Å, 90.00 108.93 90.00°
Element x y z (fractional)
1 Pm 0.0539 0.2500 0.2386
2 Pm 0.3181 0.2500 0.9662
3 Pm 0.3317 0.7500 0.6046
4 Pm 0.6683 0.2500 0.3954
5 Pm 0.6819 0.7500 0.0338
6 Pm 0.9461 0.7500 0.7614
7 Co 0.0612 0.2500 0.5745
8 Co 0.9388 0.7500 0.4255
9 Au 0.3558 0.7500 0.2451
10 Au 0.6442 0.2500 0.7549

Record 5
This record from Alexandria describes a relaxed Pm3Pr3CoAu2 crystal. The functional is PBE-GGA.

Summary:
Electronic total energy (eV/cell): -45.49

Cell: 8.6164 8.6164 3.8608 Å, 90.00 90.00 120.00°
Element x y z (fractional)
1 Pm 0.0000 0.7668 0.0000
2 Pm 0.2332 0.2332 0.0000
3 Pm 0.7668 0.0000 0.0000
4 Pr 0.0000 0.4150 0.5000
5 Pr 0.4150 0.0000 0.5000
6 Pr 0.5850 0.5850 0.5000
7 Co 0.0000 0.0000 0.5000
8 Au 0.3333 0.6667 0.0000
9 Au 0.6667 0.3333 0.0000

Record 6
This record from Alexandria describes a relaxed PmPuCoAu crystal. The functional is PBE-GGA.

Summary:
Electronic total energy (eV/cell): -30.14

Cell: 5.0184 5.0184 5.0184 Å, 60.00 60.00 60.00°
Element x y z (fractional)
1 Pm 0.0000 0.0000 0.0000
2 Pu 0.5000 0.5000 0.5000
3 Co 0.7500 0.7500 0.7500
4 Au 0.2500 0.2500 0.2500

Record 7
This record from Alexandria describes a relaxed PmScCoAu crystal. The functional is PBE-GGA.

Summary:
Electronic total energy (eV/cell): -22.91

Cell: 4.8751 4.8751 4.8751 Å, 60.00 60.00 60.00°
Element x y z (fractional)
1 Pm 0.0000 0.0000 0.0000
2 Sc 0.5000 0.5000 0.5000
3 Co 0.7500 0.7500 0.7500
4 Au 0.2500 0.2500 0.2500

Record 8
This record from Alexandria describes a relaxed PmCoSnAu crystal. The functional is PBE-GGA.

Summary:
Electronic total energy (eV/cell): -20.26

Cell: 4.8739 4.8739 4.8739 Å, 60.00 60.00 60.00°
Element x y z (fractional)
1 Pm 0.0000 0.0000 0.0000
2 Co 0.7500 0.7500 0.7500
3 Sn 0.5000 0.5000 0.5000
4 Au 0.2500 0.2500 0.2500

Record 9
This record from Alexandria describes a relaxed PmYCoAu crystal. The functional is PBE-GGA.

Summary:
Electronic total energy (eV/cell): -23.11

Cell: 5.0110 5.0110 5.0110 Å, 60.00 60.00 60.00°
Element x y z (fractional)
1 Pm 0.0000 0.0000 0.0000
2 Y 0.5000 0.5000 0.5000
3 Co 0.2500 0.2500 0.2500
4 Au 0.7500 0.7500 0.7500

Record 10
This record from Alexandria describes a relaxed PmZrCoAu crystal. The functional is PBE-GGA.

Summary:
Electronic total energy (eV/cell): -24.55

Cell: 4.8917 4.8917 4.8917 Å, 60.00 60.00 60.00°
Element x y z (fractional)
1 Pm 0.0000 0.0000 0.0000
2 Zr 0.5000 0.5000 0.5000
3 Co 0.7500 0.7500 0.7500
4 Au 0.2500 0.2500 0.2500

Record 11
This record from Alexandria describes a relaxed Pr6CoAu2 crystal. The functional is PBE-GGA.

Summary:
Electronic total energy (eV/cell): -90.94

Cell: 7.0123 7.4815 12.2973 Å, 90.00 121.60 90.00°
Element x y z (fractional)
1 Pr 0.1200 0.0249 0.2527
2 Pr 0.1200 0.4751 0.7527
3 Pr 0.2432 0.6888 0.0646
4 Pr 0.2432 0.8112 0.5646
5 Pr 0.3693 0.1900 0.0581
6 Pr 0.3693 0.3100 0.5581
7 Pr 0.6307 0.6900 0.4419
8 Pr 0.6307 0.8100 0.9419
9 Pr 0.7568 0.1888 0.4354
10 Pr 0.7568 0.3112 0.9354
11 Pr 0.8800 0.5249 0.2473
12 Pr 0.8800 0.9751 0.7473
13 Co 0.0000 0.0000 0.0000
14 Co 0.0000 0.5000 0.5000
15 Au 0.3131 0.1013 0.7641
16 Au 0.3131 0.3987 0.2641
17 Au 0.6869 0.6013 0.7359
18 Au 0.6869 0.8987 0.2359

Record 12
This record from Alexandria describes a relaxed Pr3CoAu crystal. The functional is PBE-GGA.

Summary:
Electronic total energy (eV/cell): -52.76

Cell: 8.5330 3.9324 8.6436 Å, 90.00 108.74 90.00°
Element x y z (fractional)
1 Pr 0.0550 0.2500 0.2391
2 Pr 0.3186 0.2500 0.9679
3 Pr 0.3328 0.7500 0.6043
4 Pr 0.6672 0.2500 0.3957
5 Pr 0.6814 0.7500 0.0321
6 Pr 0.9450 0.7500 0.7609
7 Co 0.0600 0.2500 0.5677
8 Co 0.9400 0.7500 0.4323
9 Au 0.3564 0.7500 0.2467
10 Au 0.6436 0.2500 0.7533